# Li2CaOs | Alexandria | meta-GGA SCAN | PBEsol geometry
data_Li2CaOs
_cell_length_a 2.686
_cell_length_b 2.686
_cell_length_c 9.852
_cell_angle_alpha 90.00
_cell_angle_beta 90.00
_cell_angle_gamma 90.00
_symmetry_space_group_name_H-M 'P 1'
_symmetry_Int_Tables_number 1
loop_
_symmetry_equiv_pos_as_xyz
'x,y,z'
loop_
_atom_site_label
_atom_site_fract_x
_atom_site_fract_y
_atom_site_fract_z
_atom_site_occupancy
Li1 0.000 0.000 0.202 1
Li2 0.000 0.000 0.798 1
Ca1 0.500 0.500 0.500 1
Os1 0.500 0.500 0.000 1
# VASP energy = -20.980 eV/atom
# Volume = 71.1 Å³ per cell
# Magnetic moment = 0.0 μB per cell
# SG = P4/mmm (123)
# Polymorph energy (0 for the lowest one) = 0.99 eV/f.u.
# ΔH_f (0 K) = 0.60 eV/atom